1.
VASP calculation (PBE) on a geometry-optimized InH12N3F6 structure.

a = 6.576 Å, b = 11.726 Å, c = 11.691 Å
α = 112.30°, β = 90.00°, γ = 90.00°
Element x y z (fractional)
1 In 0.000 0.500 0.500
2 In 0.500 0.500 0.000
3 In 0.000 0.000 0.000
4 In 0.500 0.000 0.500
5 H 0.860 0.158 0.450
6 H 0.360 0.842 0.050
7 H 0.140 0.842 0.550
8 H 0.640 0.158 0.950
9 H 0.103 0.121 0.455
10 H 0.603 0.879 0.045
11 H 0.897 0.879 0.545
12 H 0.397 0.121 0.955
13 H 0.042 0.223 0.388
14 H 0.542 0.777 0.112
15 H 0.958 0.777 0.612
16 H 0.458 0.223 0.888
17 H 0.979 0.072 0.314
18 H 0.479 0.928 0.186
19 H 0.021 0.928 0.686
20 H 0.521 0.072 0.814
21 H 0.514 0.459 0.726
22 H 0.014 0.541 0.774
23 H 0.486 0.541 0.274
24 H 0.986 0.459 0.226
25 H 0.319 0.395 0.630
26 H 0.819 0.605 0.870
27 H 0.681 0.605 0.370
28 H 0.181 0.395 0.130
29 H 0.550 0.412 0.570
30 H 0.050 0.588 0.930
31 H 0.450 0.588 0.430
32 H 0.950 0.412 0.070
33 H 0.524 0.306 0.632
34 H 0.024 0.694 0.868
35 H 0.476 0.694 0.368
36 H 0.976 0.306 0.132
37 H 0.601 0.303 0.337
38 H 0.101 0.697 0.163
39 H 0.399 0.697 0.663
40 H 0.899 0.303 0.837
41 H 0.509 0.156 0.294
42 H 0.009 0.844 0.206
43 H 0.491 0.844 0.706
44 H 0.991 0.156 0.794
45 H 0.631 0.201 0.189
46 H 0.131 0.799 0.311
47 H 0.369 0.799 0.811
48 H 0.869 0.201 0.689
49 H 0.397 0.255 0.242
50 H 0.897 0.745 0.258
51 H 0.603 0.745 0.758
52 H 0.103 0.255 0.742
53 N 0.994 0.143 0.401
54 N 0.494 0.857 0.099
55 N 0.006 0.857 0.599
56 N 0.506 0.143 0.901
57 N 0.476 0.392 0.639
58 N 0.976 0.608 0.861
59 N 0.524 0.608 0.361
60 N 0.024 0.392 0.139
61 N 0.535 0.229 0.265
62 N 0.035 0.771 0.235
63 N 0.465 0.771 0.735
64 N 0.965 0.229 0.765
65 F 0.865 0.655 0.636
66 F 0.365 0.345 0.864
67 F 0.135 0.345 0.364
68 F 0.635 0.655 0.136
69 F 0.942 0.576 0.365
70 F 0.442 0.424 0.135
71 F 0.058 0.424 0.635
72 F 0.558 0.576 0.865
73 F 0.289 0.587 0.544
74 F 0.789 0.413 0.956
75 F 0.711 0.413 0.456
76 F 0.211 0.587 0.044
77 F 0.818 0.163 0.075
78 F 0.318 0.837 0.425
79 F 0.182 0.837 0.925
80 F 0.682 0.163 0.575
81 F 0.742 0.893 0.932
82 F 0.242 0.107 0.568
83 F 0.258 0.107 0.068
84 F 0.758 0.893 0.432
85 F 0.032 0.034 0.835
86 F 0.532 0.966 0.665
87 F 0.968 0.966 0.165
88 F 0.468 0.034 0.335

## Properties
total DFT energy (no corrections)	-4.857	eV per atom
V	9.48	Å³/atom
magnetization	0.3	μB per formula unit
space group	P2_1/c

---

2.
VASP calculation (PBE) on a geometry-optimized Nb2Si2P structure.

a = 6.741 Å, b = 6.741 Å, c = 3.586 Å
α = 90.00°, β = 90.00°, γ = 90.00°
Element x y z (fractional)
1 P 0.000 0.000 0.000
2 P 0.500 0.500 0.000
3 Nb 0.333 0.833 0.000
4 Nb 0.833 0.667 0.000
5 Nb 0.667 0.167 0.000
6 Nb 0.167 0.333 0.000
7 Si 0.129 0.629 0.500
8 Si 0.629 0.871 0.500
9 Si 0.871 0.371 0.500
10 Si 0.371 0.129 0.500

## Properties
V	16.30	Å³/atom
magnetization	0.0	μB per formula unit
energy relative to the elements, uncorrected	-0.385	eV/atom
space group	P4/mbm

---

3.
VASP calculation (PBE) on a geometry-optimized InCu2Cl structure.

a = 4.920 Å, b = 4.920 Å, c = 7.492 Å
α = 51.83°, β = 51.83°, γ = 38.90°
Element x y z (fractional)
1 Cl 0.250 0.250 0.250
2 Cu 0.949 0.949 0.906
3 Cu 0.551 0.551 0.594
4 In 0.750 0.750 0.750

## Properties
ΔE to the lowest computed polymorph	70	meV per atom
V	21.50	Å³/atom
magnetization	0.0	μB per formula unit
energy relative to the elements, uncorrected	-0.026	eV/atom
space group	C2/m

---

4.
VASP calculation (PBE) on a geometry-optimized Ca2LaZnRu structure.

a = 5.587 Å, b = 5.587 Å, c = 5.200 Å
α = 90.00°, β = 90.00°, γ = 90.00°
Element x y z (fractional)
1 Ru 0.000 0.000 0.000
2 Zn 0.500 0.500 0.500
3 Ca 0.000 0.500 0.000
4 Ca 0.500 0.000 0.000
5 La 0.000 0.000 0.500

## Properties
energy of formation	0.0200	eV per atom
V	32.46	Å³/atom
magnetization	0.0	μB per formula unit
space group	P4/mmm

---

5.
VASP calculation (PBE) on a geometry-optimized Ce2BeCd structure.

a = 3.633 Å, b = 3.633 Å, c = 7.088 Å
α = 90.00°, β = 90.00°, γ = 90.00°
Element x y z (fractional)
1 Be 0.500 0.500 0.000
2 Ce 0.000 0.000 0.803
3 Ce 0.000 0.000 0.197
4 Cd 0.500 0.500 0.500

## Properties
energy of formation	0.0224	eV per atom
ΔE to the lowest computed polymorph	0	meV per atom
V	23.39	Å³/atom
magnetization	1.5	μB per formula unit
space group	P4/mmm

---

6.
VASP calculation (PBE) on a geometry-optimized SrSiTe structure.

a = 4.880 Å, b = 4.880 Å, c = 4.289 Å
α = 90.00°, β = 90.00°, γ = 120.00°
Element x y z (fractional)
1 Si 0.000 0.000 0.834
2 Sr 0.667 0.333 0.333
3 Te 0.333 0.667 0.833

## Properties
ΔE to the lowest computed polymorph	78	meV per atom
V	29.49	Å³/atom
magnetization	0.0	μB per formula unit
energy relative to the elements, uncorrected	-0.366	eV/atom
space group	P-6m2